# 1
Compound: Mg4Ru
Source: Alexandria
Functional: meta-GGA SCAN
Structure: single point on PBEsol structure

Geometry as POSCAR:
```
Mg4Ru
1.0
4.176 0.000 0.000
2.088 4.630 0.000
2.088 0.000 4.630
Mg Ru
4 1
Cartesian
6.264 2.801 3.817
4.176 3.817 1.828
4.176 0.813 2.801
2.088 1.828 0.813
0.000 0.000 0.000
```

Results
* formation enthalpy at 0 K: -34 meV per atom
* symmetry: No. 87

***

# 2
Compound: MgRu
Source: Alexandria
Functional: meta-GGA SCAN
Structure: single point on PBEsol structure

Geometry as POSCAR:
```
MgRu
1.0
2.851 0.000 0.000
0.000 2.851 0.000
0.000 0.000 8.021
Mg Ru
2 2
Cartesian
1.425 0.000 5.334
0.000 1.425 2.687
1.425 0.000 0.780
0.000 1.425 7.241
```

Results
* formation enthalpy at 0 K: -48 meV per atom
* symmetry: No. 129

***

# 3
Compound: MgRu3
Source: Alexandria
Functional: meta-GGA SCAN
Structure: single point on PBEsol structure

Geometry as POSCAR:
```
MgRu3
1.0
3.725 0.000 0.000
0.000 3.725 0.000
-1.863 -1.863 4.011
Ru Mg
3 1
Cartesian
0.000 0.000 0.000
0.000 1.863 2.006
1.863 0.000 2.006
1.863 1.863 0.000
```

Results
* formation enthalpy at 0 K: 207 meV per atom
* symmetry: No. 139

***

# 4
Compound: Mg3Ru
Source: Alexandria
Functional: meta-GGA SCAN
Structure: single point on PBEsol structure

Geometry as POSCAR:
```
Mg3Ru
1.0
-5.865 -1.752 -4.901
5.258 -5.484 1.941
-4.687 -2.227 6.405
Mg Ru
18 6
Cartesian
-2.888 -1.077 0.265
-6.266 -4.948 2.995
-4.995 -1.988 2.013
0.200 -5.612 6.252
-3.190 -5.874 1.982
2.833 -3.662 1.854
-7.753 -2.944 1.361
-2.350 -1.117 3.212
-0.007 -0.003 0.010
0.283 -2.141 2.215
-2.559 -6.192 5.275
-1.650 -5.751 -0.454
-3.923 -3.835 -0.208
-3.733 -3.754 4.021
-4.145 -1.320 -2.438
-0.692 -2.918 -0.467
-0.850 -3.378 4.562
-0.215 -5.079 2.073
-4.762 -6.934 3.960
-6.275 -2.643 4.345
-2.210 -3.326 1.778
-5.954 -2.133 -0.547
1.525 -4.643 4.053
-2.631 -3.866 6.586
```

Results
* formation enthalpy at 0 K: -46 meV per atom
* symmetry: No. 185

***

# 5
Compound: MgRu3
Source: Alexandria
Functional: meta-GGA SCAN
Structure: single point on PBEsol structure

Geometry as POSCAR:
```
MgRu3
1.0
2.690 0.000 0.000
0.000 4.751 -0.045
0.000 -1.817 4.390
Ru Mg
3 1
Cartesian
1.345 -0.908 2.195
0.000 0.000 0.000
1.345 2.375 -0.022
0.000 1.467 2.173
```

Results
* formation enthalpy at 0 K: 229 meV per atom
* symmetry: No. 65

***

# 6
Compound: MgRuS2
Source: Alexandria
Functional: meta-GGA SCAN
Structure: single point on PBEsol structure

Geometry as POSCAR:
```
MgRuS2
1.0
5.252 0.000 0.000
0.000 5.252 0.000
-2.626 -2.626 5.716
Ru S Mg
2 4 2
Cartesian
0.000 2.626 2.858
0.000 0.000 0.000
1.134 3.939 1.429
-1.313 -1.492 4.287
4.118 1.313 1.429
1.313 1.492 4.287
2.626 2.626 0.000
2.626 0.000 2.858
```

Results
* raw formation energy: -2.54 eV/f.u.
* symmetry: No. 122